# 1
Density functional theory data (GGA-PBE) for a geometry-optimized Sc4CoRu structure. Values from VASP.

Computed properties:
As for the symmetry: No. 216. The calculation puts the excess energy over the best structure of this formula in the dataset at 980 meV/atom. The calculation puts the final energy at -6.33 eV per atom.

```
&SYSTEM
  ibrav = 0, nat = 6, ntyp = 3
/
ATOMIC_SPECIES
Sc 44.96 Sc.upf
Co 58.93 Co.upf
Ru 101.07 Ru.upf
CELL_PARAMETERS angstrom
0.000 3.839 3.839
3.839 0.000 3.839
3.839 3.839 0.000
ATOMIC_POSITIONS crystal
Sc 0.376 0.376 0.376
Sc 0.376 0.376 0.873
Sc 0.376 0.873 0.376
Sc 0.873 0.376 0.376
Co 0.000 0.000 0.000
Ru 0.750 0.750 0.750
```

***

# 2
Density functional theory data (GGA-PBE) for a geometry-optimized ScCoSi2Ru structure. Values from VASP.

Computed properties:
As for the symmetry: No. 119. The calculation puts the final energy at -7.50 eV per atom. The value obtained for the formation energy without anion corrections is -3.94 eV per formula unit.

```
&SYSTEM
  ibrav = 0, nat = 5, ntyp = 4
/
ATOMIC_SPECIES
Sc 44.96 Sc.upf
Co 58.93 Co.upf
Si 28.09 Si.upf
Ru 101.07 Ru.upf
CELL_PARAMETERS angstrom
-1.973 1.973 4.772
1.973 -1.973 4.772
1.973 1.973 -4.772
ATOMIC_POSITIONS crystal
Sc 0.000 0.000 0.000
Co 0.250 0.750 0.500
Si 0.375 0.375 0.000
Si 0.625 0.625 0.000
Ru 0.750 0.250 0.500
```

***

# 3
Density functional theory data (GGA-PBE) for a geometry-optimized ScCoSiRu structure. Values from VASP.

Computed properties:
As for the symmetry: No. 216. The calculation puts the final energy at -7.68 eV per atom. The value obtained for the formation energy without anion corrections is -2.59 eV per formula unit.

```
&SYSTEM
  ibrav = 0, nat = 4, ntyp = 4
/
ATOMIC_SPECIES
Sc 44.96 Sc.upf
Co 58.93 Co.upf
Si 28.09 Si.upf
Ru 101.07 Ru.upf
CELL_PARAMETERS angstrom
0.000 2.996 2.996
2.996 0.000 2.996
2.996 2.996 0.000
ATOMIC_POSITIONS crystal
Sc 0.000 0.000 0.000
Co 0.750 0.750 0.750
Si 0.500 0.500 0.500
Ru 0.250 0.250 0.250
```

***

# 4
Density functional theory data (GGA-PBE) for a geometry-optimized SmScCoRu structure. Values from VASP.

Computed properties:
As for the symmetry: No. 216. The calculation puts the final energy at -7.09 eV per atom.

```
&SYSTEM
  ibrav = 0, nat = 4, ntyp = 4
/
ATOMIC_SPECIES
Sm 150.36 Sm.upf
Sc 44.96 Sc.upf
Co 58.93 Co.upf
Ru 101.07 Ru.upf
CELL_PARAMETERS angstrom
0.000 3.308 3.308
3.308 0.000 3.308
3.308 3.308 0.000
ATOMIC_POSITIONS crystal
Sm 0.000 0.000 0.000
Sc 0.500 0.500 0.500
Co 0.250 0.250 0.250
Ru 0.750 0.750 0.750
```

***

# 5
Density functional theory data (GGA-PBE) for a geometry-optimized Sc3Co2Sn3Ru structure. Values from VASP.

Computed properties:
As for the symmetry: No. 189. The calculation puts the final energy at -6.55 eV per atom.

```
&SYSTEM
  ibrav = 0, nat = 9, ntyp = 4
/
ATOMIC_SPECIES
Sc 44.96 Sc.upf
Co 58.93 Co.upf
Sn 118.71 Sn.upf
Ru 101.07 Ru.upf
CELL_PARAMETERS angstrom
7.477 0.000 0.000
-3.739 6.476 0.000
0.000 0.000 3.356
ATOMIC_POSITIONS crystal
Sc 0.000 0.388 0.000
Sc 0.388 0.000 0.000
Sc 0.612 0.612 0.000
Co 0.333 0.667 0.500
Co 0.667 0.333 0.500
Sn 0.000 0.711 0.500
Sn 0.289 0.289 0.500
Sn 0.711 0.000 0.500
Ru 0.000 0.000 0.000
```

***

# 6
Density functional theory data (GGA-PBE) for a geometry-optimized ScCoSnRu structure. Values from VASP.

Computed properties:
As for the symmetry: No. 216. The calculation puts the final energy at -7.14 eV per atom.

```
&SYSTEM
  ibrav = 0, nat = 4, ntyp = 4
/
ATOMIC_SPECIES
Sc 44.96 Sc.upf
Co 58.93 Co.upf
Sn 118.71 Sn.upf
Ru 101.07 Ru.upf
CELL_PARAMETERS angstrom
0.000 3.157 3.157
3.157 0.000 3.157
3.157 3.157 0.000
ATOMIC_POSITIONS crystal
Sc 0.000 0.000 0.000
Co 0.750 0.750 0.750
Sn 0.500 0.500 0.500
Ru 0.250 0.250 0.250
```

***

# 7
Density functional theory data (GGA-PBE) for a geometry-optimized Sc3CoSn3Ru2 structure. Values from VASP.

Computed properties:
As for the symmetry: No. 189. The calculation puts the final energy at -6.83 eV per atom.

```
&SYSTEM
  ibrav = 0, nat = 9, ntyp = 4
/
ATOMIC_SPECIES
Sc 44.96 Sc.upf
Co 58.93 Co.upf
Sn 118.71 Sn.upf
Ru 101.07 Ru.upf
CELL_PARAMETERS angstrom
7.462 0.000 0.000
-3.731 6.463 0.000
0.000 0.000 3.430
ATOMIC_POSITIONS crystal
Sc 0.000 0.394 0.000
Sc 0.394 0.000 0.000
Sc 0.606 0.606 0.000
Co 0.000 0.000 0.000
Sn 0.000 0.735 0.500
Sn 0.265 0.265 0.500
Sn 0.735 0.000 0.500
Ru 0.333 0.667 0.500
Ru 0.667 0.333 0.500
```

***

# 8
Density functional theory data (GGA-PBE) for a geometry-optimized ScTaCoRu structure. Values from VASP.

Computed properties:
As for the symmetry: No. 99. The calculation puts the final energy at -9.06 eV per atom.

```
&SYSTEM
  ibrav = 0, nat = 4, ntyp = 4
/
ATOMIC_SPECIES
Sc 44.96 Sc.upf
Ta 180.95 Ta.upf
Co 58.93 Co.upf
Ru 101.07 Ru.upf
CELL_PARAMETERS angstrom
3.142 0.000 0.000
0.000 3.142 0.000
0.000 0.000 6.340
ATOMIC_POSITIONS crystal
Sc 0.000 0.000 0.000
Ta 0.000 0.000 0.487
Co 0.500 0.500 0.264
Ru 0.500 0.500 0.731
```

***

# 9
Density functional theory data (GGA-PBE) for a geometry-optimized ScCoTcRu structure. Values from VASP.

Computed properties:
As for the symmetry: No. 216. The calculation puts the final energy at -8.34 eV per atom.

```
&SYSTEM
  ibrav = 0, nat = 4, ntyp = 4
/
ATOMIC_SPECIES
Sc 44.96 Sc.upf
Co 58.93 Co.upf
Tc 98.00 Tc.upf
Ru 101.07 Ru.upf
CELL_PARAMETERS angstrom
0.000 3.093 3.093
3.093 0.000 3.093
3.093 3.093 0.000
ATOMIC_POSITIONS crystal
Sc 0.000 0.000 0.000
Co 0.750 0.750 0.750
Tc 0.500 0.500 0.500
Ru 0.250 0.250 0.250
```

***

# 10
Density functional theory data (GGA-PBE) for a geometry-optimized ThScCoRu structure. Values from VASP.

Computed properties:
As for the symmetry: No. 216. The calculation puts the final energy at -7.89 eV per atom.

```
&SYSTEM
  ibrav = 0, nat = 4, ntyp = 4
/
ATOMIC_SPECIES
Th 232.04 Th.upf
Sc 44.96 Sc.upf
Co 58.93 Co.upf
Ru 101.07 Ru.upf
CELL_PARAMETERS angstrom
0.000 3.361 3.361
3.361 0.000 3.361
3.361 3.361 0.000
ATOMIC_POSITIONS crystal
Th 0.000 0.000 0.000
Sc 0.500 0.500 0.500
Co 0.750 0.750 0.750
Ru 0.250 0.250 0.250
```

***

# 11
Density functional theory data (GGA-PBE) for a geometry-optimized ScUCoRu structure. Values from VASP.

Computed properties:
As for the symmetry: No. 216. The calculation puts the final energy at -8.72 eV per atom.

```
&SYSTEM
  ibrav = 0, nat = 4, ntyp = 4
/
ATOMIC_SPECIES
Sc 44.96 Sc.upf
U 238.03 U.upf
Co 58.93 Co.upf
Ru 101.07 Ru.upf
CELL_PARAMETERS angstrom
0.000 3.261 3.261
3.261 0.000 3.261
3.261 3.261 0.000
ATOMIC_POSITIONS crystal
Sc 0.000 0.000 0.000
U 0.500 0.500 0.500
Co 0.250 0.250 0.250
Ru 0.750 0.750 0.750
```

***

# 12
Density functional theory data (GGA-PBE) for a geometry-optimized YScCo2Ru structure. Values from VASP.

Computed properties:
As for the symmetry: No. 123. The calculation puts the final energy at -5.96 eV per atom.

```
&SYSTEM
  ibrav = 0, nat = 5, ntyp = 4
/
ATOMIC_SPECIES
Y 88.91 Y.upf
Sc 44.96 Sc.upf
Co 58.93 Co.upf
Ru 101.07 Ru.upf
CELL_PARAMETERS angstrom
4.269 0.000 0.000
0.000 4.269 0.000
0.000 0.000 5.249
ATOMIC_POSITIONS crystal
Y 0.000 0.000 0.000
Sc 0.000 0.000 0.500
Co 0.000 0.500 0.500
Co 0.500 0.000 0.500
Ru 0.500 0.500 0.000
```

***

# 13
Density functional theory data (GGA-PBE) for a geometry-optimized ZrScCoRu structure. Values from VASP.

Computed properties:
As for the symmetry: No. 99. The calculation puts the excess energy over the best structure of this formula in the dataset at 0 meV/atom. The calculation puts the final energy at -8.33 eV per atom.

```
&SYSTEM
  ibrav = 0, nat = 4, ntyp = 4
/
ATOMIC_SPECIES
Zr 91.22 Zr.upf
Sc 44.96 Sc.upf
Co 58.93 Co.upf
Ru 101.07 Ru.upf
CELL_PARAMETERS angstrom
3.225 0.000 0.000
0.000 3.225 0.000
0.000 0.000 6.327
ATOMIC_POSITIONS crystal
Zr 0.000 0.000 0.000
Sc 0.000 0.000 0.510
Co 0.500 0.500 0.762
Ru 0.500 0.500 0.254
```

***

# 14
Density functional theory data (GGA-PBE) for a geometry-optimized ZrScCoRu structure. Values from VASP.

Computed properties:
As for the symmetry: No. 216. The calculation puts the excess energy over the best structure of this formula in the dataset at 11 meV/atom. The calculation puts the final energy at -8.32 eV per atom.

```
&SYSTEM
  ibrav = 0, nat = 4, ntyp = 4
/
ATOMIC_SPECIES
Zr 91.22 Zr.upf
Sc 44.96 Sc.upf
Co 58.93 Co.upf
Ru 101.07 Ru.upf
CELL_PARAMETERS angstrom
0.000 3.205 3.205
3.205 0.000 3.205
3.205 3.205 0.000
ATOMIC_POSITIONS crystal
Zr 0.000 0.000 0.000
Sc 0.500 0.500 0.500
Co 0.250 0.250 0.250
Ru 0.750 0.750 0.750
```

***

# 15
Density functional theory data (GGA-PBE) for a geometry-optimized Co2RuSe structure. Values from VASP.

Computed properties:
As for the symmetry: No. 160. The calculation puts the final energy at -6.37 eV per atom. The value obtained for the formation energy without anion corrections is 1.49 eV per formula unit.

```
&SYSTEM
  ibrav = 0, nat = 4, ntyp = 3
/
ATOMIC_SPECIES
Co 58.93 Co.upf
Ru 101.07 Ru.upf
Se 78.96 Se.upf
CELL_PARAMETERS angstrom
1.414 0.817 7.792
-1.414 0.817 7.792
0.000 -1.633 7.792
ATOMIC_POSITIONS crystal
Co 0.000 0.000 0.000
Co 0.254 0.254 0.254
Ru 0.753 0.753 0.753
Se 0.506 0.506 0.506
```

***

# 16
Density functional theory data (GGA-PBE) for a geometry-optimized CoRu3Se structure. Values from VASP.

Computed properties:
As for the symmetry: No. 221. The calculation puts the excess energy over the best structure of this formula in the dataset at 0 meV/atom. The calculation puts the final energy at -6.39 eV per atom. The value obtained for the formation energy without anion corrections is 6.47 eV per formula unit.

```
&SYSTEM
  ibrav = 0, nat = 5, ntyp = 3
/
ATOMIC_SPECIES
Co 58.93 Co.upf
Ru 101.07 Ru.upf
Se 78.96 Se.upf
CELL_PARAMETERS angstrom
4.489 0.000 0.000
0.000 4.489 0.000
0.000 0.000 4.489
ATOMIC_POSITIONS crystal
Co 0.000 0.000 0.000
Ru 0.000 0.500 0.500
Ru 0.500 0.000 0.500
Ru 0.500 0.500 0.000
Se 0.500 0.500 0.500
```

***

# 17
Density functional theory data (GGA-PBE) for a geometry-optimized Co2RuSe structure. Values from VASP.

Computed properties:
As for the symmetry: No. 8. The calculation puts the final energy at -6.45 eV per atom. The value obtained for the formation energy without anion corrections is 1.18 eV per formula unit.

```
&SYSTEM
  ibrav = 0, nat = 4, ntyp = 3
/
ATOMIC_SPECIES
Co 58.93 Co.upf
Ru 101.07 Ru.upf
Se 78.96 Se.upf
CELL_PARAMETERS angstrom
4.137 -1.439 0.000
4.137 1.439 0.000
-0.782 0.000 4.401
ATOMIC_POSITIONS crystal
Co 0.000 0.000 0.000
Co 0.739 0.739 0.179
Ru 0.253 0.253 0.703
Se 0.503 0.503 0.455
```

***

# 18
Density functional theory data (GGA-PBE) for a geometry-optimized Co2RuSe structure. Values from VASP.

Computed properties:
As for the symmetry: No. 38. The calculation puts the final energy at -6.46 eV per atom. The value obtained for the formation energy without anion corrections is 1.11 eV per formula unit.

```
&SYSTEM
  ibrav = 0, nat = 4, ntyp = 3
/
ATOMIC_SPECIES
Co 58.93 Co.upf
Ru 101.07 Ru.upf
Se 78.96 Se.upf
CELL_PARAMETERS angstrom
3.645 0.000 0.000
0.000 1.422 5.116
0.000 -1.422 5.116
ATOMIC_POSITIONS crystal
Co 0.000 0.000 0.000
Co 0.500 0.364 0.364
Ru 0.500 0.617 0.617
Se 0.000 0.777 0.777
```

***

# 19
Density functional theory data (GGA-PBE) for a geometry-optimized Co2RuSe structure. Values from VASP.

Computed properties:
As for the symmetry: No. 12. The calculation puts the final energy at -6.37 eV per atom. The value obtained for the formation energy without anion corrections is 1.48 eV per formula unit.

```
&SYSTEM
  ibrav = 0, nat = 4, ntyp = 3
/
ATOMIC_SPECIES
Co 58.93 Co.upf
Ru 101.07 Ru.upf
Se 78.96 Se.upf
CELL_PARAMETERS angstrom
4.302 -1.426 0.000
4.302 1.426 0.000
-0.858 0.000 4.308
ATOMIC_POSITIONS crystal
Co 0.246 0.246 0.240
Co 0.754 0.754 0.760
Ru 0.500 0.500 0.000
Se 0.000 0.000 0.500
```

***

# 20
Density functional theory data (GGA-PBE) for a geometry-optimized Co2RuSe structure. Values from VASP.

Computed properties:
As for the symmetry: No. 47. The calculation puts the final energy at -6.39 eV per atom. The value obtained for the formation energy without anion corrections is 1.42 eV per formula unit.

```
&SYSTEM
  ibrav = 0, nat = 4, ntyp = 3
/
ATOMIC_SPECIES
Co 58.93 Co.upf
Ru 101.07 Ru.upf
Se 78.96 Se.upf
CELL_PARAMETERS angstrom
2.979 0.000 0.000
0.000 4.195 0.000
0.000 0.000 4.259
ATOMIC_POSITIONS crystal
Co 0.000 0.000 0.000
Co 0.500 0.000 0.500
Ru 0.000 0.500 0.500
Se 0.500 0.500 0.000
```